--- A ---
The following is a DFT calculation (PBE) of a relaxed structure of CuPt4.

The structure in POSCAR format:
```
CuPt4
1.0
4.5115 0.0000 0.0000
0.0000 4.5115 0.0000
0.0000 0.0000 4.5115
Pt Cu
4 1
Direct
0.5000 0.0000 0.5000 Pt
0.0000 0.5000 0.5000 Pt
0.0000 0.0000 0.0000 Pt
0.5000 0.5000 0.0000 Pt
0.5000 0.5000 0.5000 Cu
```

DOS at the Fermi energy   6.2 states/eV per cell
Magnetization   0.0 Bohr magnetons per cell
Mass density   15.26 g cm⁻³

--- B ---
The following is a DFT calculation (PBE) of a relaxed structure of CuPt4.

The structure in POSCAR format:
```
CuPt4
1.0
3.8360 0.0000 -1.1204
-0.6087 5.0062 -2.0841
0.2050 0.3101 7.8287
Cu Pt
2 8
Direct
0.9004 0.1504 0.8008 Cu
0.0996 0.8496 0.1992 Cu
0.0966 0.3466 0.1931 Pt
0.5000 0.5000 0.0000 Pt
0.3095 0.3070 0.6190 Pt
0.5000 0.0000 0.0000 Pt
0.6905 0.1880 0.3810 Pt
0.9034 0.6534 0.8069 Pt
0.6905 0.6930 0.3810 Pt
0.3095 0.8120 0.6190 Pt
```

DOS at the Fermi energy   9.9 states/eV per cell
Magnetization   0.0 Bohr magnetons per cell
Mass density   18.18 g cm⁻³

--- C ---
The following is a DFT calculation (PBE) of a relaxed structure of CuPt4.

The structure in POSCAR format:
```
CuPt4
1.0
-5.5481 -1.8371 2.0347
-1.2927 -2.2973 -5.5989
-2.6522 -3.7974 -1.2496
Cu Pt
1 4
Direct
0.0000 0.0000 0.0000 Cu
0.6052 0.2007 0.0000 Pt
0.3948 0.7993 0.0000 Pt
0.2007 0.3948 0.0000 Pt
0.7993 0.6052 0.0000 Pt
```

DOS at the Fermi energy   7.2 states/eV per cell
Magnetization   0.0 Bohr magnetons per cell
Mass density   18.61 g cm⁻³

Which is the most stable structure? C is the most stable.

--- A ---
The following is a DFT calculation (PBE) of a relaxed structure of Cu7Pt3.

The structure in POSCAR format:
```
Cu7Pt3
1.0
-2.6806 0.2262 -0.0637
-1.1472 -13.3244 0.9686
-0.0640 0.2715 3.6589
Cu Pt
7 3
Direct
0.5000 0.1106 0.5000 Cu
0.0000 0.3919 0.0000 Cu
0.5000 0.2976 0.5000 Cu
0.5000 0.4862 0.5000 Cu
0.0000 0.0156 0.0000 Cu
0.5000 0.6933 0.5000 Cu
0.0000 0.2045 0.0000 Cu
0.5000 0.9154 0.5000 Pt
0.0000 0.7969 0.0000 Pt
0.0000 0.5879 0.0000 Pt
```

DOS at the Fermi energy   6.1 states/eV per cell
Magnetization   0.0 Bohr magnetons per cell
Mass density   12.92 g cm⁻³

--- B ---
The following is a DFT calculation (PBE) of a relaxed structure of Cu7Pt3.

The structure in POSCAR format:
```
Cu7Pt3
1.0
-1.2696 2.5006 2.5500
-4.8412 -0.3711 -2.0465
0.6263 -6.0714 3.4484
Cu Pt
7 3
Direct
0.5993 0.8045 0.1987 Cu
0.5987 0.3028 0.1975 Cu
0.4007 0.1955 0.8013 Cu
0.0000 0.5000 0.0000 Cu
0.1997 0.1005 0.3994 Cu
0.4013 0.6972 0.8025 Cu
0.8003 0.8995 0.6006 Cu
0.0000 0.0000 0.0000 Pt
0.8035 0.3935 0.6070 Pt
0.1965 0.6065 0.3930 Pt
```

DOS at the Fermi energy   4.0 states/eV per cell
Magnetization   0.0 Bohr magnetons per cell
Mass density   13.01 g cm⁻³

Which is the most stable structure? B is the most stable.

--- A ---
The following is a DFT calculation (PBE) of a relaxed structure of Cu8Pt3.

The structure in POSCAR format:
```
Cu8Pt3
1.0
-0.2411 1.8699 -3.2443
-3.8778 -0.1301 2.3832
4.8735 7.3030 3.8471
Cu Pt
8 3
Direct
0.2736 0.5472 0.9103 Cu
0.1813 0.3625 0.2713 Cu
0.7264 0.4528 0.0897 Cu
0.4537 0.9075 0.1807 Cu
0.6379 0.2758 0.4550 Cu
0.5463 0.0925 0.8193 Cu
0.3621 0.7242 0.5450 Cu
0.8187 0.6375 0.7287 Cu
0.0000 0.0000 0.0000 Pt
0.0932 0.1865 0.6409 Pt
0.9068 0.8135 0.3591 Pt
```

DOS at the Fermi energy   3.9 states/eV per cell
Magnetization   0.0 Bohr magnetons per cell
Mass density   12.63 g cm⁻³

--- B ---
The following is a DFT calculation (PBE) of a relaxed structure of Cu8Pt3.

The structure in POSCAR format:
```
Cu8Pt3
1.0
5.5227 -0.3170 -0.3093
-0.1767 5.5290 -0.3093
-0.1767 -0.1723 5.5350
Cu Pt
8 3
Direct
0.3620 0.3620 0.3620 Cu
0.0626 0.6904 0.9268 Cu
0.0732 0.9374 0.3096 Cu
0.9374 0.3096 0.0732 Cu
0.6380 0.6380 0.6380 Cu
0.6904 0.9268 0.0626 Cu
0.3096 0.0732 0.9374 Cu
0.9268 0.0626 0.6904 Cu
0.5000 0.0000 0.5000 Pt
0.0000 0.5000 0.5000 Pt
0.5000 0.5000 0.0000 Pt
```

DOS at the Fermi energy   5.4 states/eV per cell
Magnetization   0.0 Bohr magnetons per cell
Mass density   10.80 g cm⁻³

Which is the most stable structure? A is the most stable.